# Ho6ScIn2

A relaxed structure of Ho6ScIn2 (PBE-GGA, the Alexandria database).

abc: 7.660 7.660 10.934
angles: 90.00 90.00 90.00
Positions (direct):
Sc: 0.000 0.000 0.000
Sc: 0.500 0.500 0.500
Ho: 0.260 0.260 0.656
Ho: 0.260 0.260 0.344
Ho: 0.303 0.303 0.000
Ho: 0.740 0.740 0.656
Ho: 0.697 0.697 0.000
Ho: 0.240 0.760 0.156
Ho: 0.740 0.740 0.344
Ho: 0.760 0.240 0.844
Ho: 0.240 0.760 0.844
Ho: 0.803 0.197 0.500
Ho: 0.197 0.803 0.500
Ho: 0.760 0.240 0.156
In: 0.500 0.500 0.783
In: 0.500 0.500 0.217
In: 0.000 0.000 0.283
In: 0.000 0.000 0.717

Values from the calculation:
Fermi-level density of states: 1.27 states/eV/atom
Polymorph energy (0 for the lowest one): 586.2 meV/atom
E_form: 0.383 eV/atom